[1]
# SnTeI6

A relaxed SnTeI6 crystal (PBE, the Alexandria database).

Computed properties:
The calculation puts the raw total energy at -0.0835 Ha/atom. As for the uncorrected formation energy: -216 meV per atom. Its crystal system is monoclinic.

a b c (Å): 7.5112 13.7552 7.5117
angles (deg): 90.00 108.03 90.00
With the nearest neighbours (Å) after each atom.
Space group C2/m (No. 12)
Asymmetric unit:
Sn 0.0000 0.0000 0.0000  6 I 3.01-3.17
Te 0.0000 0.5000 0.5000  6 I 2.98-3.07
I 0.2321 0.3444 0.7369  1 Te 2.98, 1 Sn 3.17
I 0.2447 0.0000 0.7502  1 Sn 3.01, 1 Te 3.07



[2]
# CsKHf2Cr

A relaxed CsKHf2Cr crystal (PBE, the Alexandria database).

Computed properties:
The calculation puts the raw total energy at -0.1274 Ha/atom. Its crystal system is tetragonal.

a b c (Å): 5.3787 5.3787 5.6811
angles (deg): 90.00 90.00 90.00
With the nearest neighbours (Å) after each atom.
Space group P4/mmm (No. 123)
Asymmetric unit:
Cs 0.0000 0.0000 0.0000  4 Hf 2.69, 2 K 2.84
K 0.0000 0.0000 0.5000  2 Cs 2.84
Hf 0.0000 0.5000 0.0000  2 Cs 2.69
Cr 0.5000 0.5000 0.5000  4 K 3.80, 8 Hf 3.91



[3]
# KSi2HO5

A relaxed KSi2HO5 crystal (PBE, the Alexandria database).

Computed properties:
The calculation puts the raw total energy at -0.2521 Ha/atom. Its crystal system is monoclinic.

a b c (Å): 14.6755 8.4365 9.8686
angles (deg): 90.00 122.38 90.00
With the nearest neighbours (Å) after each atom.
Space group C2/m (No. 12)
Asymmetric unit:
K 0.0000 0.0000 0.0000  8 O 2.90-3.06
K 0.0000 0.0000 0.5000  8 O 2.94-3.04, 4 H 3.12
K 0.1750 0.5000 0.0187  4 O 2.75-2.81, 2 H 2.96
Si 0.0914 0.3125 0.2945  4 O 1.60-1.65
Si 0.1976 0.3150 0.6727  4 O 1.61-1.64
H 0.0982 0.2284 0.7938  2 O 1.15-1.27
O 0.0296 0.2573 0.8322  1 H 1.27
O 0.1155 0.5000 0.2767  2 Si 1.65
O 0.1228 0.2788 0.4793  2 Si 1.64-1.65
O 0.1629 0.1976 0.7660  1 H 1.15
O 0.1746 0.2096 0.2642  2 Si 1.64-1.65
O 0.1831 0.5000 0.7098  2 Si 1.64